[1]
# Tb4Ho2ErMg

Crystalline Tb4Ho2ErMg at its relaxed geometry (PBE-GGA, the Alexandria database). Values from VASP.

Quantum ESPRESSO input file:
```
&SYSTEM
  ibrav = 0, nat = 8, ntyp = 4
/
ATOMIC_SPECIES
Tb 158.93 Tb.upf
Ho 164.93 Ho.upf
Er 167.26 Er.upf
Mg 24.30 Mg.upf
CELL_PARAMETERS angstrom
4.964 0.000 0.000
0.000 4.964 0.000
0.000 0.000 9.891
ATOMIC_POSITIONS crystal
Tb 0.000 0.500 0.248
Tb 0.000 0.500 0.752
Tb 0.500 0.000 0.248
Tb 0.500 0.000 0.752
Ho 0.000 0.000 0.000
Ho 0.500 0.500 0.500
Er 0.000 0.000 0.500
Mg 0.500 0.500 0.000
```

Crystal system = tetragonal
Calculated density = 7.883 g/cm3
E_form = 0.02 eV/atom



[2]
# TbHo2Er2Mg5

Crystalline TbHo2Er2Mg5 at its relaxed geometry (PBE-GGA, the Alexandria database). Values from VASP.

Quantum ESPRESSO input file:
```
&SYSTEM
  ibrav = 0, nat = 20, ntyp = 4
/
ATOMIC_SPECIES
Tb 158.93 Tb.upf
Ho 164.93 Ho.upf
Er 167.26 Er.upf
Mg 24.30 Mg.upf
CELL_PARAMETERS angstrom
10.529 0.000 0.000
0.000 10.529 0.000
0.000 0.000 5.060
ATOMIC_POSITIONS crystal
Tb 0.000 0.000 0.000
Tb 0.500 0.500 0.000
Ho 0.178 0.322 0.000
Ho 0.322 0.822 0.000
Ho 0.678 0.178 0.000
Ho 0.822 0.678 0.000
Er 0.118 0.618 0.000
Er 0.382 0.118 0.000
Er 0.618 0.882 0.000
Er 0.882 0.382 0.000
Mg 0.000 0.500 0.500
Mg 0.075 0.803 0.500
Mg 0.197 0.075 0.500
Mg 0.303 0.575 0.500
Mg 0.425 0.303 0.500
Mg 0.500 0.000 0.500
Mg 0.575 0.697 0.500
Mg 0.697 0.425 0.500
Mg 0.803 0.925 0.500
Mg 0.925 0.197 0.500
```

Crystal system = tetragonal
Calculated density = 5.594 g/cm3
E_form = 0.08 eV/atom



no.,V (Å³/cell)
1,244
2,561